This record from Alexandria via LeMat-Bulk describes a relaxed structure of CrGa3Cl. The functional is PBE.

The structure in POSCAR format:
```
CrGa3Cl
1.0
5.1877 0.0000 0.0000
0.0000 5.1877 0.0000
0.0000 0.0000 5.1877
Cr Ga Cl
1 3 1
Cartesian
0.0000 0.0000 0.0000 Cr
0.0000 2.5939 2.5939 Ga
2.5939 0.0000 2.5939 Ga
2.5939 2.5939 0.0000 Ga
2.5939 2.5939 2.5939 Cl
```

ΔE_f (raw): 0.66 eV per atom
Symmetry: Pm-3m, No. 221



This record from Alexandria via LeMat-Bulk describes a relaxed structure of CrGa3Cl. The functional is PBE.

The structure in POSCAR format:
```
CrGa3Cl
1.0
4.9269 0.0000 0.0000
0.0000 4.9269 0.0000
0.0000 0.0000 4.9269
Cr Ga Cl
1 3 1
Cartesian
0.0000 0.0000 0.0000 Cr
0.0000 0.0000 2.4634 Ga
0.0000 2.4634 0.0000 Ga
2.4634 0.0000 0.0000 Ga
2.4634 2.4634 2.4634 Cl
```

ΔE_f (raw): 0.19 eV per atom
Symmetry: Pm-3m, No. 221



This record from Alexandria via LeMat-Bulk describes a relaxed structure of CrGaCl6. The functional is PBE.

The structure in POSCAR format:
```
CrGaCl6
1.0
3.0375 1.7537 5.4179
-3.0375 1.7537 5.4179
0.0000 -3.5074 5.4179
Cr Ga Cl
1 1 6
Cartesian
0.0000 0.0000 0.0000 Cr
0.0000 0.0000 8.1268 Ga
-1.9921 0.1017 6.7625 Cl
-1.0842 -1.6744 9.4912 Cl
0.9080 -1.7761 6.7625 Cl
-0.9080 1.7761 9.4912 Cl
1.0842 1.6744 6.7625 Cl
1.9922 -0.1017 9.4912 Cl
```

ΔE_f (raw): -0.94 eV per atom
Symmetry: R-3, No. 148



This record from Alexandria via LeMat-Bulk describes a relaxed structure of CrGaCl2. The functional is PBE.

The structure in POSCAR format:
```
CrGaCl2
1.0
6.2324 0.0000 0.0000
0.0000 6.2324 0.0000
0.0000 0.0000 10.3323
Cr Ga Cl
4 4 8
Cartesian
0.0000 0.0000 0.0000 Cr
0.0000 3.1162 2.5831 Cr
3.1162 0.0000 7.7492 Cr
3.1162 3.1162 5.1661 Cr
0.0000 0.0000 5.1661 Ga
0.0000 3.1162 7.7492 Ga
3.1162 0.0000 2.5831 Ga
3.1162 3.1162 0.0000 Ga
0.9041 1.5581 1.2915 Cl
1.5581 4.0203 3.8746 Cl
1.5581 5.3282 9.0407 Cl
2.2121 1.5581 6.4577 Cl
4.0203 4.6743 6.4577 Cl
4.6743 0.9041 9.0407 Cl
4.6743 2.2121 3.8746 Cl
5.3282 4.6743 1.2915 Cl
```

ΔE_f (raw): 0.12 eV per atom
Symmetry: I-42d, No. 122



This record from Alexandria via LeMat-Bulk describes a relaxed structure of CrInGaCl6. The functional is PBE.

The structure in POSCAR format:
```
CrInGaCl6
1.0
3.3490 -5.3891 0.0000
3.3490 5.3891 0.0000
-0.3840 0.0000 7.0462
Cr In Ga Cl
1 1 1 6
Cartesian
0.0000 0.0000 0.0000 Cr
3.1570 -1.8269 3.5231 In
3.3490 1.7080 0.0000 Ga
1.2186 1.6470 1.2546 Cl
2.2249 3.6051 5.6525 Cl
4.0891 3.6051 1.3937 Cl
1.9723 0.2394 5.5426 Cl
4.3417 0.2394 1.5036 Cl
5.0954 1.6470 5.7916 Cl
```

ΔE_f (raw): -0.96 eV per atom
Symmetry: C2, No. 5



This record from Alexandria via LeMat-Bulk describes a relaxed structure of CrIn2GaCl6. The functional is PBE.

The structure in POSCAR format:
```
CrIn2GaCl6
1.0
7.1087 0.0000 0.0000
3.0777 6.4125 0.0000
3.0757 1.9355 6.1216
Cr In Ga Cl
1 2 1 6
Cartesian
0.0000 0.0000 0.0000 Cr
3.0956 1.9494 1.4264 In
10.1665 6.3985 4.6952 In
6.6310 4.1740 3.0608 Ga
4.4549 5.6900 1.7929 Cl
6.2135 6.1712 5.1778 Cl
5.0162 2.5381 4.8946 Cl
8.2459 5.8099 1.2270 Cl
7.0486 2.1768 0.9438 Cl
8.8072 2.6579 4.3287 Cl
```

ΔE_f (raw): -0.91 eV per atom
Symmetry: P-1, No. 2



This record from Alexandria via LeMat-Bulk describes a relaxed structure of NbCrGaCl2. The functional is PBE.

The structure in POSCAR format:
```
NbCrGaCl2
1.0
4.5887 0.0000 0.0000
0.0000 4.5887 0.0000
0.0000 0.0000 5.6322
Nb Cr Ga Cl
1 1 1 2
Cartesian
0.0000 0.0000 0.0000 Nb
2.2944 2.2944 0.0000 Cr
0.0000 0.0000 2.8161 Ga
0.0000 2.2944 2.8161 Cl
2.2944 0.0000 2.8161 Cl
```

ΔE_f (raw): 1.39 eV per atom
Symmetry: P4/mmm, No. 123



This record from Alexandria via LeMat-Bulk describes a relaxed structure of CrGa2OsCl. The functional is PBE.

The structure in POSCAR format:
```
CrGa2OsCl
1.0
4.8867 0.0000 0.0000
0.0000 4.8867 0.0000
0.0000 0.0000 4.1232
Cr Ga Os Cl
1 2 1 1
Cartesian
0.0000 0.0000 0.0000 Cr
0.0000 2.4433 0.0000 Ga
2.4433 0.0000 0.0000 Ga
2.4433 2.4433 2.0616 Os
0.0000 0.0000 2.0616 Cl
```

ΔE_f (raw): 1.22 eV per atom
Symmetry: P4/mmm, No. 123



This record from Alexandria via LeMat-Bulk describes a relaxed structure of CrGaOs2Cl. The functional is PBE.

The structure in POSCAR format:
```
CrGaOs2Cl
1.0
4.5632 0.0000 0.0000
0.0000 4.5632 0.0000
0.0000 0.0000 4.3375
Cr Ga Os Cl
1 1 2 1
Cartesian
0.0000 0.0000 0.0000 Cr
2.2816 2.2816 2.1688 Ga
0.0000 2.2816 0.0000 Os
2.2816 0.0000 0.0000 Os
0.0000 0.0000 2.1688 Cl
```

ΔE_f (raw): 1.40 eV per atom
Symmetry: P4/mmm, No. 123



This record from Alexandria via LeMat-Bulk describes a relaxed structure of CrGaPCl2. The functional is PBE.

The structure in POSCAR format:
```
CrGaPCl2
1.0
4.9472 0.0000 0.0000
0.0000 4.9472 0.0000
0.0000 0.0000 4.6156
Cr Ga P Cl
1 1 1 2
Cartesian
0.0000 0.0000 0.0000 Cr
2.4736 2.4736 2.3078 Ga
0.0000 0.0000 2.3078 P
0.0000 2.4736 0.0000 Cl
2.4736 0.0000 0.0000 Cl
```

ΔE_f (raw): -0.22 eV per atom
Symmetry: P4/mmm, No. 123



This record from Alexandria via LeMat-Bulk describes a relaxed structure of CrGaP2Cl. The functional is PBE.

The structure in POSCAR format:
```
CrGaP2Cl
1.0
4.3818 0.0000 0.0000
0.0000 4.3818 0.0000
0.0000 0.0000 5.3348
Cr Ga P Cl
1 1 2 1
Cartesian
0.0000 0.0000 0.0000 Cr
2.1909 2.1909 2.6674 Ga
0.0000 2.1909 0.0000 P
2.1909 0.0000 0.0000 P
0.0000 0.0000 2.6674 Cl
```

ΔE_f (raw): 0.12 eV per atom
Symmetry: P4/mmm, No. 123



This record from Alexandria via LeMat-Bulk describes a relaxed structure of Rb3Cr2GaCl9. The functional is PBE.

The structure in POSCAR format:
```
Rb3Cr2GaCl9
1.0
7.2184 0.0000 0.0000
-3.6092 6.2513 0.0000
0.0000 0.0000 8.9587
Rb Cr Ga Cl
3 2 1 9
Cartesian
0.0000 0.0000 0.0000 Rb
0.0000 4.1676 5.9379 Rb
3.6092 2.0838 3.0208 Rb
0.0000 4.1676 1.4165 Cr
3.6092 2.0838 7.5422 Cr
0.0000 0.0000 4.4794 Ga
-1.8046 3.1257 0.0000 Cl
0.0000 2.2124 2.7919 Cl
-1.6932 5.1452 2.7919 Cl
1.9160 1.1062 6.1668 Cl
3.6092 0.0000 0.0000 Cl
1.8046 3.1257 0.0000 Cl
1.6932 5.1452 2.7919 Cl
5.3025 1.1062 6.1668 Cl
3.6092 4.0390 6.1668 Cl
```

ΔE_f (raw): -1.38 eV per atom
Symmetry: P-3m1, No. 164



- Which of these has the highest ΔE_f (raw)?
  CrGaOs2Cl



- Look up the ΔE_f (raw) of the second one.
  0.19 eV per atom



- Which of these has the lowest ΔE_f (raw)?
  Rb3Cr2GaCl9